# Mg2InCu2 | Alexandria | PBE | optimized geometry
data_Mg2InCu2
_symmetry_space_group_name_H-M 'I 4/m m m'
_symmetry_Int_Tables_number 139
_symmetry_space_group_name_Hall '-I 4 2'
_cell_length_a 3.3913
_cell_length_b 3.3913
_cell_length_c 16.8933
_cell_angle_alpha 90.00
_cell_angle_beta 90.00
_cell_angle_gamma 90.00
loop_
_atom_site_label
_atom_site_type_symbol
_atom_site_fract_x
_atom_site_fract_y
_atom_site_fract_z
Mg1 Mg 0.0000 0.0000 0.1220
In1 In 0.0000 0.0000 0.5000
Cu1 Cu 0.0000 0.5000 0.2500
# E_form = 2.4 kJ per mole of atoms



# PuBePb | Alexandria | PBE | optimized geometry
data_PuBePb
_symmetry_space_group_name_H-M 'P 62 2 2'
_symmetry_Int_Tables_number 180
_symmetry_space_group_name_Hall 'P 62 2 (0 0 4)'
_cell_length_a 6.5152
_cell_length_b 6.5152
_cell_length_c 11.0112
_cell_angle_alpha 90.00
_cell_angle_beta 90.00
_cell_angle_gamma 120.00
loop_
_atom_site_label
_atom_site_type_symbol
_atom_site_fract_x
_atom_site_fract_y
_atom_site_fract_z
Pu1 Pu 0.0000 0.0000 0.0000
Pu2 Pu 0.0000 0.5000 0.1667
Be1 Be 0.1969 0.5985 0.6667
Pb1 Pb 0.0000 0.5000 0.4534
# E_form = 21.7 kJ per mole of atoms



# NiPbAu2 | Alexandria | PBE | optimized geometry
data_NiPbAu2
_symmetry_space_group_name_H-M 'F -4 3 m'
_symmetry_Int_Tables_number 216
_symmetry_space_group_name_Hall 'F -4 2 3'
_cell_length_a 6.6850
_cell_length_b 6.6850
_cell_length_c 6.6850
_cell_angle_alpha 90.00
_cell_angle_beta 90.00
_cell_angle_gamma 90.00
loop_
_atom_site_label
_atom_site_type_symbol
_atom_site_fract_x
_atom_site_fract_y
_atom_site_fract_z
Ni1 Ni 0.0000 0.0000 0.0000
Pb1 Pb 0.2500 0.2500 0.2500
Au1 Au 0.0000 0.0000 0.5000
Au2 Au 0.2500 0.2500 0.7500
# E_form = 17.7 kJ per mole of atoms



Calculated total moment, 0.0 6.0 0.0 μB/f.u. (same order as the records).